DyRe4Se8: relaxed, GGA-PBE.

Formation energy without anion corrections   -0.143 eV/atom
DOS(E_F)   0.602 states/eV/atom
Total energy   -0.4756 Ry per atom

a = 7.4339 Å, b = 7.4339 Å, c = 18.7326 Å
α = 90.00°, β = 90.00°, γ = 120.00°
Last column: nearest neighbours and their distance in Å.
Space group R-3m (No. 166, hexagonal axes)
Asymmetric unit:
Dy: 0.0000 0.0000 0.0000 (multiplicity 3)  6 Se 2.79
Re: 0.0000 0.0000 0.5000 (multiplicity 3)  6 Se 2.52
Re: 0.0000 0.5000 0.5000 (multiplicity 9)  6 Se 2.57-2.59
Se: 0.0000 0.0000 0.2419 (multiplicity 6)  3 Re 2.57
Se: 0.0084 0.5042 0.2418 (multiplicity 18)  3 Re 2.52-2.59, 1 Dy 2.79



CsRb: relaxed, GGA-PBE.

Offset from the most stable computed form   0.504 eV per formula unit
ΔH_f (0 K)   0.251 eV/atom
DOS(E_F)   0.692 states/eV/atom
Total energy   -0.0484 Ry per atom

a = 7.6175 Å, b = 7.6175 Å, c = 12.5092 Å
α = 90.00°, β = 90.00°, γ = 120.00°
Last column: nearest neighbours and their distance in Å.
Space group P6_3mc (No. 186)
Asymmetric unit:
Cs: 0.3333 0.6667 0.0000 (multiplicity 2)  4 Rb 4.66-4.68
Rb: 0.3333 0.6667 0.6276 (multiplicity 2)  4 Cs 4.66-4.68



Co5RhS8: relaxed, GGA-PBE.

Formation energy without anion corrections   -0.420 eV/atom
DOS(E_F)   0.396 states/eV/atom
Total energy   -0.4293 Ry per atom

a = 9.3918 Å, b = 9.3918 Å, c = 9.3918 Å
α = 90.00°, β = 90.00°, γ = 90.00°
Last column: nearest neighbours and their distance in Å.
Space group F-43m (No. 216)
Asymmetric unit:
Co: 0.0000 0.0000 0.0000 (multiplicity 4)  4 S 2.15
Co: 0.1275 0.1275 0.3725 (multiplicity 16)  6 S 2.26
Rh: 0.2500 0.2500 0.7500 (multiplicity 4)  4 S 2.25
S: 0.1118 0.1118 0.6118 (multiplicity 16)  1 Rh 2.25, 3 Co 2.26
S: 0.1319 0.1319 0.1319 (multiplicity 16)  4 Co 2.15-2.26



MgBe2Hg: relaxed, GGA-PBE.

Offset from the most stable computed form   0.040 eV per formula unit
ΔH_f (0 K)   0.267 eV/atom
DOS(E_F)   0.154 states/eV/atom
Total energy   -0.1521 Ry per atom

a = 7.4387 Å, b = 3.9691 Å, c = 5.3713 Å
α = 90.00°, β = 123.47°, γ = 90.00°
Last column: nearest neighbours and their distance in Å.
Space group C2/m (No. 12)
Asymmetric unit:
Mg: 0.0000 0.0000 0.0000 (multiplicity 2)  2 Be 2.58
Be: 0.2113 0.0000 0.5748 (multiplicity 4)  2 Be 2.33, 3 Hg 2.39-2.42, 1 Mg 2.58
Hg: 0.0000 0.5000 0.5000 (multiplicity 2)  6 Be 2.39-2.42



PrY2Fe9: relaxed, GGA-PBE.

ΔH_f (0 K)   -0.013 eV/atom
DOS(E_F)   1.317 states/eV/atom
Total energy   -0.5759 Ry per atom

a = 5.1582 Å, b = 5.1582 Å, c = 24.3520 Å
α = 90.00°, β = 90.00°, γ = 120.00°
Last column: nearest neighbours and their distance in Å.
Space group R-3m (No. 166, hexagonal axes)
Asymmetric unit:
Pr: 0.0000 0.0000 0.0000 (multiplicity 3)  18 Fe 2.98-3.27
Y: 0.0000 0.0000 0.1423 (multiplicity 6)  12 Fe 2.96-3.04, 3 Y 3.21
Fe: 0.0000 0.0000 0.3326 (multiplicity 6)  6 Fe 2.49-2.51
Fe: 0.0000 0.0000 0.5000 (multiplicity 3)  6 Fe 2.53
Fe: 0.0017 0.5008 0.0822 (multiplicity 18)  7 Fe 2.49-2.59



Pr2ThTe5: relaxed, GGA-PBE.

Offset from the most stable computed form   0.105 eV per formula unit
Formation energy without anion corrections   -1.277 eV/atom
Total energy   -0.3941 Ry per atom

a = 6.2422 Å, b = 15.0235 Å, c = 15.1752 Å
α = 90.00°, β = 90.00°, γ = 90.00°
Last column: nearest neighbours and their distance in Å.
Space group Cmcm (No. 63)
Asymmetric unit:
Pr: 0.0000 0.1478 0.0549 (multiplicity 8)  6 Te 3.11-3.35
Th: 0.0000 0.2050 0.7500 (multiplicity 4)  6 Te 3.05-3.19
Te: 0.0000 0.0469 0.6244 (multiplicity 8)  1 Th 3.05, 2 Pr 3.11-3.12
Te: 0.0000 0.2522 0.2500 (multiplicity 4)  2 Th 3.19, 2 Pr 3.35
Te: 0.0000 0.3214 0.5747 (multiplicity 8)  3 Pr 3.17-3.27, 1 Th 3.18



CdIn2CuPb: relaxed, GGA-PBE.

Offset from the most stable computed form   0.000 eV per formula unit
ΔH_f (0 K)   0.174 eV/atom
DOS(E_F)   0.432 states/eV/atom
Total energy   -0.1959 Ry per atom

a = 5.1285 Å, b = 5.1285 Å, c = 5.0619 Å
α = 90.00°, β = 90.00°, γ = 90.00°
Last column: nearest neighbours and their distance in Å.
Space group P4/mmm (No. 123)
Asymmetric unit:
Cd: 0.0000 0.0000 0.0000 (multiplicity 1)  2 Cu 2.53
In: 0.0000 0.5000 0.5000 (multiplicity 2)  2 Cu 2.56
Cu: 0.0000 0.0000 0.5000 (multiplicity 1)  2 Cd 2.53, 4 In 2.56
Pb: 0.5000 0.5000 0.0000 (multiplicity 1)  8 In 3.60, 4 Cd 3.63



Sm4PaAs5: relaxed, GGA-PBE.

ΔH_f (0 K)   -1.447 eV/atom
DOS(E_F)   0.505 states/eV/atom
Total energy   -0.4858 Ry per atom

a = 9.3553 Å, b = 9.3553 Å, c = 5.9145 Å
α = 90.00°, β = 90.00°, γ = 90.00°
Last column: nearest neighbours and their distance in Å.
Space group I4/m (No. 87)
Asymmetric unit:
Sm: 0.0981 0.6978 0.0000 (multiplicity 8)  6 As 2.94-3.02
Pa: 0.0000 0.0000 0.5000 (multiplicity 2)  6 As 2.87-2.96
As: 0.0000 0.0000 0.0000 (multiplicity 2)  2 Pa 2.96, 4 Sm 2.97
As: 0.0969 0.7085 0.5000 (multiplicity 8)  1 Pa 2.87, 5 Sm 2.94-3.02



TmAl9Pt2: relaxed, GGA-PBE.

ΔH_f (0 K)   -0.506 eV/atom
DOS(E_F)   0.227 states/eV/atom
Total energy   -0.3449 Ry per atom

a = 10.6878 Å, b = 10.6878 Å, c = 7.1185 Å
α = 90.00°, β = 90.00°, γ = 90.00°
Last column: nearest neighbours and their distance in Å.
Space group I4_1/amd (No. 141, origin choice 2)
Asymmetric unit:
Tm: 0.0000 0.2500 0.3750 (multiplicity 4)  18 Al 3.30-3.56
Al: 0.0000 0.2500 0.8750 (multiplicity 4)  4 Pt 2.82, 8 Al 2.87
Al: 0.1212 0.0496 0.6769 (multiplicity 32)  6 Al 2.59-2.87, 2 Pt 2.60-2.69
Pt: 0.0000 0.0000 0.0000 (multiplicity 8)  10 Al 2.60-2.82



Th3Re2Si4: relaxed, GGA-PBE.

Formation energy without anion corrections   -0.581 eV/atom
DOS(E_F)   0.662 states/eV/atom
Total energy   -0.6049 Ry per atom

a = 10.9445 Å, b = 4.3189 Å, c = 8.3212 Å
α = 90.00°, β = 108.03°, γ = 90.00°
Last column: nearest neighbours and their distance in Å.
Space group C2/m (No. 12)
Asymmetric unit:
Th: 0.0000 0.0000 0.0000 (multiplicity 2)  8 Si 3.10-3.39
Th: 0.1180 0.5000 0.7013 (multiplicity 4)  7 Si 2.99-3.21, 4 Re 3.17-3.21
Re: 0.1864 0.5000 0.3581 (multiplicity 4)  4 Si 2.43-2.50
Si: 0.1031 0.0000 0.4104 (multiplicity 4)  3 Re 2.44-2.50
Si: 0.2138 0.5000 0.0786 (multiplicity 4)  1 Re 2.43



Pr4TmTl4: relaxed, GGA-PBE.

ΔH_f (0 K)   -0.203 eV/atom
DOS(E_F)   0.796 states/eV/atom
Total energy   -0.2848 Ry per atom

a = 9.3819 Å, b = 9.3819 Å, c = 6.3240 Å
α = 90.00°, β = 90.00°, γ = 90.00°
Last column: nearest neighbours and their distance in Å.
Space group P4_2/n (No. 86, origin choice 2)
Asymmetric unit:
Pr: 0.0790 0.8245 0.1162 (multiplicity 8)  1 Tm 3.28, 5 Tl 3.29-3.57, 1 Pr 3.50
Tm: 0.2500 0.2500 0.7500 (multiplicity 2)  4 Tl 3.16, 4 Pr 3.28
Tl: 0.0490 0.1514 0.3757 (multiplicity 8)  1 Tm 3.16, 4 Pr 3.29-3.49, 3 Tl 3.37



LiGeRu2Au: relaxed, GGA-PBE.

ΔH_f (0 K)   0.801 eV/atom
DOS(E_F)   0.929 states/eV/atom
Total energy   -0.3580 Ry per atom

a = 4.6069 Å, b = 4.6069 Å, c = 4.8123 Å
α = 90.00°, β = 90.00°, γ = 90.00°
Last column: nearest neighbours and their distance in Å.
Space group P4/mmm (No. 123)
Asymmetric unit:
Li: 0.0000 0.0000 0.0000 (multiplicity 1)  4 Au 3.26, 8 Ru 3.33
Ge: 0.5000 0.5000 0.5000 (multiplicity 1)  4 Ru 2.30, 2 Au 2.41
Ru: 0.0000 0.5000 0.5000 (multiplicity 2)  2 Ge 2.30
Au: 0.5000 0.5000 0.0000 (multiplicity 1)  2 Ge 2.41



SrScIn2: relaxed, GGA-PBE.

ΔH_f (0 K)   -0.206 eV/atom
DOS(E_F)   0.736 states/eV/atom
Total energy   -0.2630 Ry per atom

a = 12.1339 Å, b = 3.5663 Å, c = 5.5492 Å
α = 90.00°, β = 108.84°, γ = 90.00°
Last column: nearest neighbours and their distance in Å.
Space group Cm (No. 8)
Asymmetric unit:
Sr: 0.0000 0.0000 0.0000 (multiplicity 2)  7 In 3.25-3.42, 2 Sr 3.57
Sc: 0.2195 0.0000 0.6375 (multiplicity 2)  7 In 3.26-3.50, 2 Sc 3.57
In: 0.2540 0.5000 0.1571 (multiplicity 2)  2 In 3.12, 4 Sc 3.30-3.34, 3 Sr 3.37-3.42
In: 0.4578 0.0000 0.4883 (multiplicity 2)  2 In 3.12, 4 Sr 3.25-3.42, 1 Sc 3.26



BeMo2Rh: relaxed, GGA-PBE.

ΔH_f (0 K)   -0.076 eV/atom
DOS(E_F)   0.641 states/eV/atom
Total energy   -0.6072 Ry per atom

a = 2.7123 Å, b = 3.9809 Å, c = 5.1416 Å
α = 90.00°, β = 95.10°, γ = 90.00°
Last column: nearest neighbours and their distance in Å.
Space group P2/m (No. 10)
Asymmetric unit:
Be: 0.0000 0.0000 0.0000 (multiplicity 1)  2 Rh 2.57, 8 Mo 2.60-2.79, 2 Be 2.71
Mo: 0.4685 0.5000 0.2349 (multiplicity 2)  4 Mo 2.44-2.72, 2 Be 2.60
Rh: 0.0000 0.0000 0.5000 (multiplicity 1)  2 Be 2.57, 2 Rh 2.71, 8 Mo 2.75-2.78



TbH2Br4: relaxed, GGA-PBE.

DOS(E_F)   0.174 states/eV/atom
Total energy   -0.2373 Ry per atom

a = 3.9026 Å, b = 15.2919 Å, c = 5.9349 Å
α = 90.00°, β = 90.00°, γ = 90.00°
Last column: nearest neighbours and their distance in Å.
Space group Cmmm (No. 65)
Asymmetric unit:
Tb: 0.0000 0.0000 0.0000 (multiplicity 2)  4 Br 2.78
H: 0.0000 0.3945 0.5000 (multiplicity 4)  2 Br 1.95
Br: 0.0000 0.1088 0.5000 (multiplicity 4)  2 H 1.95
Br: 0.0000 0.3708 0.0000 (multiplicity 4)  2 Tb 2.78, 2 H 2.99



AlIr2Se: relaxed, GGA-PBE.

Offset from the most stable computed form   1.035 eV per formula unit
Formation energy without anion corrections   0.081 eV/atom
DOS(E_F)   0.733 states/eV/atom
Total energy   -0.4525 Ry per atom

a = 3.0294 Å, b = 3.0294 Å, c = 23.8634 Å
α = 90.00°, β = 90.00°, γ = 120.00°
Last column: nearest neighbours and their distance in Å.
Space group R3m (No. 160, hexagonal axes)
Asymmetric unit:
Al: 0.0000 0.0000 0.0000 (multiplicity 3)  3 Ir 2.49, 3 Se 2.75
Ir: 0.0000 0.0000 0.2591 (multiplicity 3)  3 Al 2.49
Ir: 0.0000 0.0000 0.4992 (multiplicity 3)  3 Se 2.53, 3 Ir 2.83
Se: 0.0000 0.0000 0.7556 (multiplicity 3)  3 Ir 2.53, 3 Al 2.75



Li4In3Au2: relaxed, GGA-PBE.

ΔH_f (0 K)   -0.364 eV/atom
DOS(E_F)   0.303 states/eV/atom
Total energy   -0.2099 Ry per atom

a = 8.4806 Å, b = 4.4265 Å, c = 8.7372 Å
α = 90.00°, β = 98.01°, γ = 90.00°
Last column: nearest neighbours and their distance in Å.
Space group C2/m (No. 12)
Asymmetric unit:
Li: 0.0064 0.0000 0.3212 (multiplicity 4)  3 Au 2.79-2.92, 4 In 2.80-2.89, 2 Li 3.12
Li: 0.1633 0.5000 0.8943 (multiplicity 4)  4 Au 2.72-2.94, 4 In 2.83-2.88
In: 0.0000 0.0000 0.0000 (multiplicity 2)  8 Li 2.80-2.88, 4 Au 3.13
In: 0.1666 0.5000 0.5701 (multiplicity 4)  4 Li 2.80-2.89, 3 In 2.92-2.98, 2 Au 3.10
Au: 0.1819 0.5000 0.2076 (multiplicity 4)  7 Li 2.72-2.94



FeRuAu: relaxed, GGA-PBE.

Offset from the most stable computed form   0.286 eV per formula unit
ΔH_f (0 K)   0.340 eV/atom
DOS(E_F)   1.128 states/eV/atom
Total energy   -0.4899 Ry per atom

a = 3.2657 Å, b = 4.3724 Å, c = 12.7439 Å
α = 90.00°, β = 90.00°, γ = 90.00°
Last column: nearest neighbours and their distance in Å.
Space group Fmm2 (No. 42)
Asymmetric unit:
Fe: 0.0000 0.0000 0.0000 (multiplicity 4)  2 Ru 2.49, 2 Au 2.70, 4 Fe 2.73
Ru: 0.0000 0.0000 0.3524 (multiplicity 4)  2 Fe 2.49, 4 Ru 2.73
Au: 0.0000 0.0000 0.6689 (multiplicity 4)  2 Fe 2.70, 4 Au 2.73, 2 Ru 2.85



MgHPd3: relaxed, GGA-PBE.

Offset from the most stable computed form   1.175 eV per formula unit
DOS(E_F)   0.321 states/eV/atom
Total energy   -0.3187 Ry per atom

a = 5.4753 Å, b = 9.0684 Å, c = 5.5828 Å
α = 90.00°, β = 90.00°, γ = 90.00°
Last column: nearest neighbours and their distance in Å.
Space group Cmcm (No. 63)
Asymmetric unit:
Mg: 0.0000 0.0353 0.2500 (multiplicity 4)  4 Pd 2.59-2.71, 2 Mg 2.86, 2 H 2.89
H: 0.0000 0.3630 0.7500 (multiplicity 4)  4 Pd 1.85-1.87
Pd: 0.0000 0.5000 0.0000 (multiplicity 4)  2 H 1.87
Pd: 0.2462 0.2238 0.7500 (multiplicity 8)  1 H 1.85



TlAu: relaxed, GGA-PBE.

ΔH_f (0 K)   0.022 eV/atom
DOS(E_F)   0.476 states/eV/atom
Total energy   -0.2058 Ry per atom

a = 3.9709 Å, b = 3.9709 Å, c = 6.7521 Å
α = 90.00°, β = 90.00°, γ = 90.00°
Last column: nearest neighbours and their distance in Å.
Space group P4/nmm (No. 129, origin choice 2)
Asymmetric unit:
Tl: 0.2500 0.2500 0.1540 (multiplicity 2)  4 Au 3.07
Au: 0.2500 0.7500 0.5000 (multiplicity 2)  4 Au 2.81, 4 Tl 3.07